No. 1
Entry from Alexandria via LeMat-Bulk: a geometry-optimized La2Pr3Cd2 structure (PBE-GGA).

Unit cell a=3.822 b=3.775 c=15.987 alpha=90.00 beta=96.86 gamma=90.00
Atoms (fractional coordinates):
La 0.293 0.500 0.587
La 0.707 0.500 0.413
Pr 0.420 0.500 0.839
Pr 0.580 0.500 0.161
Pr 0.000 0.000 0.000
Cd 0.141 0.000 0.282
Cd 0.859 0.000 0.718

Summary:
Total energy (Ry per atom): -0.2822
Calculated formation energy (eV per atom): -0.121

---

No. 2
Entry from Alexandria via LeMat-Bulk: a geometry-optimized La4Pr8Cd structure (PBE-GGA).

Unit cell a=11.839 b=11.839 c=7.885 alpha=90.00 beta=138.66 gamma=120.00
Atoms (fractional coordinates):
La 0.000 0.000 0.000
La 0.000 0.500 0.000
La 0.500 0.500 0.000
La 0.500 0.000 0.000
Pr 0.516 0.758 0.274
Pr 0.484 0.242 0.726
Pr 0.325 0.163 0.991
Pr 0.171 0.334 0.009
Pr 0.675 0.837 0.009
Pr 0.171 0.837 0.009
Pr 0.829 0.163 0.991
Pr 0.829 0.666 0.991
Cd 0.000 0.500 0.500

Summary:
Total energy (Ry per atom): -0.3100
Calculated formation energy (eV per atom): 0.310